[1]
Entry from Alexandria: a relaxed structure of KTe3 (PBE).

## Properties
The space group is No. 225. The value obtained for the raw formation energy is -0.011 eV per atom. The volume comes out at 32.418 A^3/atom. The energy above the most stable polymorph in this dataset is 371 meV per atom.

Lattice parameters (Å, degrees): 5.681 5.681 5.681 60.00 60.00 60.00
Element x y z (fractional)
K  0.000  0.000  0.000
Te  0.250  0.250  0.250
Te  0.500  0.500  0.500
Te  0.750  0.750  0.750

=====

[2]
Entry from Alexandria: a relaxed structure of KTe2 (PBE).

## Properties
The space group is No. 10. The value obtained for the raw formation energy is -0.520 eV per atom. The volume comes out at 40.020 A^3/atom. The energy above the most stable polymorph in this dataset is 41 meV per atom.

Lattice parameters (Å, degrees): 5.361 4.284 5.474 90.00 107.27 90.00
Element x y z (fractional)
K  0.000  0.000  0.000
Te  0.403  0.500  0.723
Te  0.597  0.500  0.277